(1)
Here is a geometry-optimized Rb2NaTlRe structure from Alexandria. Energies are from PBE.

The value obtained for the total DFT energy (no corrections) is -2.14 eV/atom. Its space-group type is P4/mmm. The total magnetization comes out at 4.520 μB/f.u.

abc: 6.890 5.914 6.890
angles: 90.00 90.00 90.00
Element x y z (fractional)
1 Re 0.500 0.500 0.500
2 Tl 0.000 0.000 0.000
3 Rb 0.000 0.000 0.500
4 Rb 0.500 0.000 0.000
5 Na 0.000 0.500 0.000

***

(2)
Here is a geometry-optimized TlSeO3 structure from Alexandria. Energies are from PBE.

The value obtained for the total DFT energy (no corrections) is -4.92 eV/atom. Its uncorrected formation energy is -0.774 eV per atom. Its space-group type is P1. The total magnetization comes out at 0.000 μB/f.u.

abc: 5.032 6.975 6.422
angles: 76.25 93.50 92.93
Element x y z (fractional)
1 Tl 0.224 0.102 0.638
2 Tl 0.128 0.678 0.232
3 Se 0.653 0.632 0.721
4 Se 0.797 0.223 0.080
5 O 0.435 0.502 0.600
6 O 0.896 0.465 0.859
7 O 0.896 0.301 0.301
8 O 0.524 0.730 0.903
9 O 0.043 0.090 0.028
10 O 0.827 0.799 0.548

***

(3)
Here is a geometry-optimized CsFe4 structure from Alexandria. Energies are from PBE.

The value obtained for the total DFT energy (no corrections) is -4.13 eV/atom. Its space-group type is Pm-3m. The total magnetization comes out at 10.597 μB/f.u.

abc: 4.778 4.778 4.778
angles: 90.00 90.00 90.00
Element x y z (fractional)
1 Cs 0.500 0.500 0.500
2 Fe 0.000 0.000 0.000
3 Fe 0.500 0.000 0.500
4 Fe 0.000 0.500 0.500
5 Fe 0.500 0.500 0.000

***

(4)
Here is a geometry-optimized Cs2ThIr3O12 structure from Alexandria. Energies are from PBE.

The value obtained for the total DFT energy (no corrections) is -6.63 eV/atom. Its uncorrected formation energy is -1.336 eV per atom. Its space-group type is R-3m. The total magnetization comes out at 0.000 μB/f.u.

abc: 7.709 7.709 7.709
angles: 56.82 56.82 56.82
Element x y z (fractional)
1 Cs 0.615 0.615 0.615
2 Cs 0.385 0.385 0.385
3 Th 0.000 0.000 0.000
4 Ir 0.500 0.000 0.000
5 Ir 0.000 0.500 0.000
6 Ir 0.000 0.000 0.500
7 O 0.305 0.305 0.918
8 O 0.920 0.920 0.362
9 O 0.362 0.920 0.920
10 O 0.918 0.305 0.305
11 O 0.920 0.362 0.920
12 O 0.305 0.918 0.305
13 O 0.695 0.695 0.082
14 O 0.080 0.080 0.638
15 O 0.638 0.080 0.080
16 O 0.082 0.695 0.695
17 O 0.080 0.638 0.080
18 O 0.695 0.082 0.695

***

> Among the records above, which one has the lowest total DFT energy (no corrections)?

Cs2ThIr3O12

***

> Among the records above, which one has the lowest total DFT energy (no corrections)?

Cs2ThIr3O12